No. 1
An optimized crystal structure of FeCoAs, computed with PBE.

Results
For the total DFT energy (no corrections), the calculation gives -19.64 eV per cell. The energy of formation from the pure elements comes out at 0.19 eV per atom.

Cell and atoms, written as extended XYZ:
```
3
Lattice="-0.3977 -0.6402 2.6882 -1.0652 -1.6349 -1.9967 4.9022 -3.1603 -0.0275" Properties=species:S:1:pos:R:3 pbc="T T T"
As 0.0252 -0.0163 -0.0001
Co 0.8179 -2.3739 -0.4444
Fe 2.5962 -3.0453 1.1085
```



No. 2
An optimized crystal structure of Fe2CoAs, computed with PBE.

Results
For the total DFT energy (no corrections), the calculation gives -28.73 eV per cell. The energy of formation from the pure elements comes out at -0.01 eV per atom.

Cell and atoms, written as extended XYZ:
```
4
Lattice="-1.3655 -2.6051 0.6525 2.5921 -1.9491 -2.3569 2.4420 -0.5031 3.1017" Properties=species:S:1:pos:R:3 pbc="T T T"
As 0.5382 -1.5541 1.8771
Co 2.5170 -1.2261 0.3724
Fe 0.0000 0.0000 0.0000
Fe 0.6133 -2.2771 -0.8522
```



No. 3
An optimized crystal structure of Fe2CoAs8, computed with PBE.

Results
For the total DFT energy (no corrections), the calculation gives -61.31 eV per cell. The energy of formation from the pure elements comes out at -0.01 eV per atom.

Cell and atoms, written as extended XYZ:
```
11
Lattice="-3.5294 2.1274 1.9226 -9.2596 -4.1365 1.8078 -4.2562 -0.9251 7.0120" Properties=species:S:1:pos:R:3 pbc="T T T"
As -13.3886 -2.2172 6.0298
As -6.7270 -1.8732 2.7928
As -13.3262 -2.6935 9.1026
As -3.7190 -0.2407 1.6398
As -10.3183 -1.0610 7.9496
As -3.6566 -0.7170 4.7126
As -10.8986 -2.3329 5.1631
As -6.1466 -0.6013 5.5793
Co 0.0000 0.0000 0.0000
Fe -11.5561 -3.1237 7.3369
Fe -5.4892 0.1896 3.4054
```



No. 4
An optimized crystal structure of FeCoAs, computed with PBE.

Results
For the total DFT energy (no corrections), the calculation gives -20.19 eV per cell. The energy of formation from the pure elements comes out at 0.01 eV per atom.

Cell and atoms, written as extended XYZ:
```
3
Lattice="-2.8291 2.0052 1.9562 -0.7578 -3.6448 -1.4114 0.8624 -1.0982 2.3729" Properties=species:S:1:pos:R:3 pbc="T T T"
As 0.1453 -0.1850 0.3997
Co -1.9956 -0.0603 1.2273
Fe -0.8742 -2.4925 1.2906
```



No. 5
An optimized crystal structure of Fe2CoAs2, computed with PBE.

Results
For the total DFT energy (no corrections), the calculation gives -65.33 eV per cell. The energy of formation from the pure elements comes out at 0.13 eV per atom.

Cell and atoms, written as extended XYZ:
```
10
Lattice="-4.0575 -4.7134 -2.4976 5.2882 -3.1428 -2.6600 0.2896 -1.4827 2.3275" Properties=species:S:1:pos:R:3 pbc="T T T"
As 3.0645 -4.2551 -3.0919
As 0.0668 -6.0360 -3.8534
As -1.8339 -3.6010 -2.0658
As 1.1638 -1.8202 -1.3043
Co 0.0000 0.0000 0.0000
Co 0.6153 -3.9281 -2.5788
Fe 2.9621 -3.4188 -0.8924
Fe 2.0884 -6.4619 -2.7222
Fe -1.4419 -5.9200 -1.9378
Fe -0.5682 -2.8769 -0.1079
```



No. 6
An optimized crystal structure of FeCoAs, computed with PBE.

Results
For the total DFT energy (no corrections), the calculation gives -20.06 eV per cell. The energy of formation from the pure elements comes out at 0.05 eV per atom.

Cell and atoms, written as extended XYZ:
```
3
Lattice="4.3202 -0.0027 -0.0017 1.8848 3.8874 0.0017 -2.8272 -2.3821 2.2354" Properties=species:S:1:pos:R:3 pbc="T T T"
As 6.2027 3.8833 0.0000
Co 2.0454 1.2806 0.0000
Fe 4.1618 2.6056 0.0000
```



No. 7
An optimized crystal structure of Fe2CoAs, computed with PBE.

Results
For the total DFT energy (no corrections), the calculation gives -27.91 eV per cell. The energy of formation from the pure elements comes out at 0.19 eV per atom.

Cell and atoms, written as extended XYZ:
```
4
Lattice="7.7576 0.0043 0.0025 7.2642 2.7226 0.0025 7.2642 1.3186 2.3819" Properties=species:S:1:pos:R:3 pbc="T T T"
As 11.1408 2.0223 1.1932
Co 5.5823 1.0133 0.5979
Fe 0.0048 0.0009 0.0005
Fe 16.7011 3.0317 1.7888
```



No. 8
An optimized crystal structure of FeCo2As2, computed with PBE.

Results
For the total DFT energy (no corrections), the calculation gives -63.42 eV per cell. The energy of formation from the pure elements comes out at 0.05 eV per atom.

Cell and atoms, written as extended XYZ:
```
10
Lattice="-0.7745 5.7589 -3.3759 2.0936 -3.0175 -5.6278 -2.6700 -0.7162 -0.6092" Properties=species:S:1:pos:R:3 pbc="T T T"
As 1.4972 -0.5728 -5.8880
As 0.7271 2.8584 -6.5469
As -0.1780 3.3141 -3.1157
As 0.5920 -0.1171 -2.4568
Co -0.1058 -1.4879 -4.3633
Co -0.0251 0.7171 -7.3091
Co -1.2450 3.5130 -5.2497
Co -1.3257 1.3080 -2.3039
Fe 0.0000 0.0000 0.0000
Fe 0.6596 1.3707 -4.5019
```



No. 9
An optimized crystal structure of Fe2CoAs, computed with PBE.

Results
For the total DFT energy (no corrections), the calculation gives -28.60 eV per cell. The energy of formation from the pure elements comes out at 0.02 eV per atom.

Cell and atoms, written as extended XYZ:
```
4
Lattice="2.9886 0.0000 0.0000 0.0000 2.9872 0.0000 0.0000 0.0000 5.4833" Properties=species:S:1:pos:R:3 pbc="T T T"
As 0.0000 0.0000 2.7062
Co 1.4943 1.4936 4.1375
Fe 0.0000 0.0000 0.0009
Fe 1.4943 1.4936 1.3803
```



No. 10
An optimized crystal structure of Fe2CoAs, computed with PBE.

Results
For the total DFT energy (no corrections), the calculation gives -27.76 eV per cell. The energy of formation from the pure elements comes out at 0.23 eV per atom.

Cell and atoms, written as extended XYZ:
```
4
Lattice="-7.9461 -0.2206 -0.2602 -7.3876 -2.7483 -1.0616 -7.4906 -2.1562 1.5808" Properties=species:S:1:pos:R:3 pbc="T T T"
As -5.7061 -1.2813 0.0648
Co -17.1182 -3.8439 0.1943
Fe -0.0211 -0.0047 0.0002
Fe -11.3911 -2.5579 0.1293
```



No. 11
An optimized crystal structure of Fe2CoAs, computed with PBE.

Results
For the total DFT energy (no corrections), the calculation gives -53.33 eV per cell. The energy of formation from the pure elements comes out at 0.50 eV per atom.

Cell and atoms, written as extended XYZ:
```
8
Lattice="-1.6276 -2.6779 -1.4383 2.1261 -2.1689 1.6323 -5.0302 -2.7064 6.5978" Properties=species:S:1:pos:R:3 pbc="T T T"
As 0.0000 0.0000 0.0000
As -3.2043 -3.9038 2.6282
Co 0.2493 -2.4234 0.0970
Co -1.3274 -3.6494 4.1635
Fe -1.9406 -2.5089 1.0150
Fe -0.2006 -2.4794 2.4294
Fe -3.4964 -3.9385 5.0897
Fe -3.4258 -6.1796 5.0495
```



No. 12
An optimized crystal structure of FeCoAs, computed with PBE.

Results
For the total DFT energy (no corrections), the calculation gives -61.98 eV per cell. The energy of formation from the pure elements comes out at -0.15 eV per atom.

Cell and atoms, written as extended XYZ:
```
9
Lattice="3.5973 0.0000 0.0000 0.0000 5.1791 -2.9902 0.0000 0.0001 5.9803" Properties=species:S:1:pos:R:3 pbc="T T T"
Fe 1.7987 2.0934 1.2086
Fe 1.7987 0.0001 3.5631
Fe 1.7987 3.0856 -1.7815
Co 0.0000 3.8568 2.2267
Co 0.0000 5.1791 -1.4633
Co 0.0000 1.3223 -0.7635
As 0.0000 1.7264 2.9901
As 0.0000 3.4527 0.0000
As 1.7987 5.1790 -2.9902
```



No. 13
An optimized crystal structure of Fe2CoAs, computed with PBE.

Results
For the total DFT energy (no corrections), the calculation gives -28.85 eV per cell. The energy of formation from the pure elements comes out at -0.04 eV per atom.

Cell and atoms, written as extended XYZ:
```
4
Lattice="-2.3774 2.3744 2.2986 0.8509 -2.2902 3.2564 3.0191 1.6408 -2.1831" Properties=species:S:1:pos:R:3 pbc="T T T"
As -0.7632 0.0421 2.7774
Co 1.5533 -0.3036 1.9255
Fe 0.0000 0.0000 0.0000
Fe -0.0608 2.0287 1.4465
```



No. 14
An optimized crystal structure of FeCoAs, computed with PBE.

Results
For the total DFT energy (no corrections), the calculation gives -39.78 eV per cell. The energy of formation from the pure elements comes out at 0.11 eV per atom.

Cell and atoms, written as extended XYZ:
```
6
Lattice="-2.2532 0.1738 -1.5053 2.8515 -2.1389 -2.0661 -5.9638 -4.1057 8.4529" Properties=species:S:1:pos:R:3 pbc="T T T"
Co -4.2883 -5.0867 3.3826
Co -1.0772 -0.9842 1.4987
Fe -5.6367 -4.9814 5.4132
Fe 0.2712 -1.0895 -0.5318
As -1.7811 -2.6419 -0.0879
As -3.5843 -3.4290 4.9693
```



No. 15
An optimized crystal structure of FeCoAs, computed with PBE.

Results
For the total DFT energy (no corrections), the calculation gives -123.70 eV per cell. The energy of formation from the pure elements comes out at -0.13 eV per atom.

Cell and atoms, written as extended XYZ:
```
18
Lattice="3.5825 0.0000 0.0000 0.0000 6.0056 0.0000 0.0000 0.0000 10.3578" Properties=species:S:1:pos:R:3 pbc="T T T"
Fe 0.0000 4.2259 2.0928
Fe 0.0000 4.2259 8.2650
Fe 0.0000 0.5859 0.0000
Fe 0.0000 1.2126 3.0957
Fe 0.0000 1.2126 7.2621
Fe 1.7912 1.5244 5.1789
Co 1.7912 2.2506 1.3346
Co 0.0000 3.5929 5.1789
Co 1.7912 4.5426 0.0000
Co 1.7912 5.2560 3.8415
Co 1.7912 5.2560 6.5163
Co 1.7912 2.2506 9.0232
As 0.0000 5.9925 5.1789
As 1.7912 3.0211 3.4745
As 1.7912 0.0184 8.6448
As 1.7912 0.0184 1.7130
As 0.0000 3.0060 0.0000
As 1.7912 3.0211 6.8833
```



No. 16
An optimized crystal structure of FeCoAs4, computed with PBE.

Results
For the total DFT energy (no corrections), the calculation gives -28.80 eV per cell. The calculation puts the energy above the most stable polymorph in this dataset at 113.83 kJ per mole of atoms. The energy of formation from the pure elements comes out at 0.89 eV per atom.

Cell and atoms, written as extended XYZ:
```
6
Lattice="0.0000 3.8071 3.8071 3.8071 0.0000 3.8071 3.8071 3.8071 0.0000" Properties=species:S:1:pos:R:3 pbc="T T T"
Fe 0.0000 0.0000 0.0000
Co 5.7106 5.7106 5.7106
As 2.8572 4.7570 4.7570
As 4.7570 4.7570 2.8572
As 4.7570 2.8572 4.7570
As 2.8572 2.8572 2.8572
```



No. 17
An optimized crystal structure of FeCoAs4, computed with PBE.

Results
For the total DFT energy (no corrections), the calculation gives -69.20 eV per cell. The calculation puts the energy above the most stable polymorph in this dataset at 20.56 kJ per mole of atoms. The energy of formation from the pure elements comes out at -0.07 eV per atom.

Cell and atoms, written as extended XYZ:
```
12
Lattice="-2.1286 5.4799 0.6811 -1.8144 0.0008 -5.6767 -4.6230 -2.7066 1.4772" Properties=species:S:1:pos:R:3 pbc="T T T"
Fe 0.0000 0.0000 0.0000
Fe -1.9715 2.7404 -2.4978
Co -3.3758 1.3867 1.0792
Co -3.2187 -1.3529 -2.0997
As -3.5362 4.5668 -2.8547
As -5.6841 0.9471 0.9596
As -3.2522 0.8815 -1.2498
As -4.6700 -0.8471 -3.9251
As -5.0298 -1.7926 -0.6637
As -2.8818 1.8270 -4.4780
As -5.3137 1.8927 -2.2686
As -3.8959 3.6212 0.4068
```



No. 18
An optimized crystal structure of Fe2CoAs, computed with PBE.

Results
For the total DFT energy (no corrections), the calculation gives -28.47 eV per cell. The energy of formation from the pure elements comes out at 0.05 eV per atom.

Cell and atoms, written as extended XYZ:
```
4
Lattice="3.7024 0.0000 0.0000 0.0000 2.7163 0.0172 0.0000 2.6967 4.9155" Properties=species:S:1:pos:R:3 pbc="T T T"
As 1.8512 1.3533 1.2332
Co 1.8512 4.0598 3.6995
Fe 0.0000 2.6941 4.8827
Fe 0.0000 2.7091 2.4991
```



No. 19
An optimized crystal structure of Fe2CoAs, computed with PBE.

Results
For the total DFT energy (no corrections), the calculation gives -28.47 eV per cell. The energy of formation from the pure elements comes out at 0.05 eV per atom.

Cell and atoms, written as extended XYZ:
```
4
Lattice="3.9410 0.0000 0.0000 0.0000 2.7242 -0.0138 0.0000 0.7169 4.6022" Properties=species:S:1:pos:R:3 pbc="T T T"
As 0.0000 2.0977 2.2391
Co 1.9705 2.2584 3.5202
Fe 0.0000 3.4275 4.5033
Fe 1.9705 0.8189 1.2085
```



No. 20
An optimized crystal structure of Fe2Co2As, computed with PBE.

Results
For the total DFT energy (no corrections), the calculation gives -33.57 eV per cell. The energy of formation from the pure elements comes out at 0.44 eV per atom.

Cell and atoms, written as extended XYZ:
```
5
Lattice="3.1540 0.0000 0.0000 0.0000 3.1540 0.0000 1.5770 1.5770 6.1618" Properties=species:S:1:pos:R:3 pbc="T T T"
As 0.0000 0.0000 0.0000
Co 1.5770 1.5770 1.2370
Co 3.1540 3.1540 4.9248
Fe 3.1540 1.5770 3.0809
Fe 1.5770 3.1540 3.0809
```